CePrGaIr: optimized geometry, PBE.

The value obtained for the energy above the most stable polymorph in this dataset is 0.203 eV/atom. Its density of states at the Fermi level is 6.8 states/eV/f.u. The energy relative to the elements is -1.880 eV per formula unit. Its size of the total moment is 1.8 Bohr magnetons per cell.

a = 7.223 Å, b = 7.223 Å, c = 7.223 Å
α = 90.00°, β = 90.00°, γ = 90.00°
Space group F-43m (No. 216)
Asymmetric unit:
Ce 0.000 0.000 0.000 [4 per cell]
Pr 0.000 0.000 0.500 [4 per cell]
Ga 0.250 0.250 0.250 [4 per cell]
Ir 0.250 0.250 0.750 [4 per cell]


LiEr4Zn2: optimized geometry, PBE.

The value obtained for the energy above the most stable polymorph in this dataset is 0.105 eV/atom. Its density of states at the Fermi level is 9.2 states/eV/f.u. The energy relative to the elements is 0.223 eV per formula unit. Its size of the total moment is 0.0 Bohr magnetons per cell.

a = 4.9832 Å, b = 4.9832 Å, c = 24.9796 Å
α = 90.00°, β = 90.00°, γ = 120.00°
Space group R-3m (No. 166, hexagonal axes)
Asymmetric unit:
Li 0.0000 0.0000 0.0000 [3 per cell]
Er 0.0000 0.0000 0.2114 [6 per cell]
Er 0.0000 0.0000 0.3764 [6 per cell]
Zn 0.0000 0.0000 0.0935 [6 per cell]


Ca2MnAgCl8: optimized geometry, PBE.

For the total energy, the calculation gives -49.372 eV/f.u. Its density of states at the Fermi level is 0.3 states/eV/f.u. Its size of the total moment is 4.0 Bohr magnetons per cell.

a = 6.084 Å, b = 8.077 Å, c = 6.463 Å
α = 90.00°, β = 90.71°, γ = 90.00°
Space group P2/m (No. 10)
Asymmetric unit:
Ca 0.000 0.245 0.000 [2 per cell]
Mn 0.500 0.000 0.500 [1 per cell]
Ag 0.500 0.500 0.500 [1 per cell]
Cl 0.217 0.500 0.819 [2 per cell]
Cl 0.243 0.000 0.830 [2 per cell]
Cl 0.288 0.207 0.353 [4 per cell]


Nd2Sm4Er2Mg: optimized geometry, PBE.

Its density of states at the Fermi level is 10.2 states/eV/f.u. The energy relative to the elements is 1.363 eV per formula unit. Its size of the total moment is 0.0 Bohr magnetons per cell.

a = 6.718 Å, b = 6.898 Å, c = 8.075 Å
α = 82.56°, β = 66.40°, γ = 61.28°
Space group P-1 (No. 2)
Asymmetric unit:
Nd 0.026 0.132 0.324 [2 per cell]
Sm 0.067 0.615 0.236 [2 per cell]
Sm 0.443 0.386 0.748 [2 per cell]
Er 0.347 0.904 0.909 [2 per cell]
Mg 0.500 0.000 0.500 [1 per cell]


ReSbCl2: optimized geometry, PBE.

The value obtained for the energy above the most stable polymorph in this dataset is 0.244 eV/atom. Its density of states at the Fermi level is 3.6 states/eV/f.u. Its size of the total moment is 0.0 Bohr magnetons per cell.

a = 3.0410 Å, b = 3.0410 Å, c = 36.4687 Å
α = 90.00°, β = 90.00°, γ = 120.00°
Space group R-3m (No. 166, hexagonal axes)
Asymmetric unit:
Re 0.0000 0.0000 0.0000 [3 per cell]
Sb 0.0000 0.0000 0.5000 [3 per cell]
Cl 0.0000 0.0000 0.0610 [6 per cell]


LaFe3: optimized geometry, PBE.

Its density of states at the Fermi level is 5.4 states/eV/f.u. The energy relative to the elements is 0.560 eV per formula unit. Its size of the total moment is 9.4 Bohr magnetons per cell.

a = 4.050 Å, b = 6.499 Å, c = 5.507 Å
α = 90.00°, β = 90.00°, γ = 90.00°
Space group Pmmn (No. 59, origin choice 2)
Asymmetric unit:
La 0.250 0.250 0.119 [2 per cell]
Fe 0.250 0.064 0.599 [4 per cell]
Fe 0.250 0.750 0.372 [2 per cell]


MgZr2Pb: optimized geometry, PBE.

Its density of states at the Fermi level is 3.3 states/eV/f.u. The energy relative to the elements is 0.166 eV per formula unit. Its size of the total moment is 0.0 Bohr magnetons per cell.

a = 3.2358 Å, b = 3.2358 Å, c = 31.6524 Å
α = 90.00°, β = 90.00°, γ = 120.00°
Space group R-3m (No. 166, hexagonal axes)
Asymmetric unit:
Mg 0.0000 0.0000 0.0000 [3 per cell]
Zr 0.0000 0.0000 0.2498 [6 per cell]
Pb 0.0000 0.0000 0.5000 [3 per cell]


Pm2Sm2Sn5: optimized geometry, PBE.

Its density of states at the Fermi level is 3.3 states/eV/f.u. The energy relative to the elements is -5.384 eV per formula unit. Its size of the total moment is 0.0 Bohr magnetons per cell.

a = 16.517 Å, b = 8.172 Å, c = 8.190 Å
α = 90.00°, β = 90.00°, γ = 90.00°
Space group Cmce (No. 64)
Asymmetric unit:
Pm 0.000 0.169 0.169 [8 per cell]
Sm 0.189 0.000 0.500 [8 per cell]
Sn 0.000 0.000 0.500 [4 per cell]
Sn 0.137 0.128 0.873 [16 per cell]


HoCoSn6: optimized geometry, PBE.

Its density of states at the Fermi level is 6.2 states/eV/f.u. The energy relative to the elements is -0.880 eV per formula unit. Its size of the total moment is 0.0 Bohr magnetons per cell.

a = 7.233 Å, b = 9.313 Å, c = 6.304 Å
α = 90.00°, β = 105.32°, γ = 90.00°
Space group C2/m (No. 12)
Asymmetric unit:
Ho 0.000 0.000 0.000 [2 per cell]
Co 0.000 0.500 0.500 [2 per cell]
Sn 0.100 0.302 0.791 [8 per cell]
Sn 0.204 0.000 0.630 [4 per cell]


La2Sm2Sn3: optimized geometry, PBE.

Its density of states at the Fermi level is 5.7 states/eV/f.u. The energy relative to the elements is -4.231 eV per formula unit. Its size of the total moment is 0.0 Bohr magnetons per cell.

a = 5.454 Å, b = 5.463 Å, c = 9.472 Å
α = 73.29°, β = 73.31°, γ = 60.13°
Space group P-1 (No. 2)
Asymmetric unit:
La 0.126 0.125 0.122 [2 per cell]
Sm 0.379 0.378 0.363 [2 per cell]
Sn 0.261 0.263 0.715 [2 per cell]
Sn 0.500 0.500 0.000 [1 per cell]


KLiEu2: optimized geometry, PBE.

The value obtained for the energy above the most stable polymorph in this dataset is 0.079 eV/atom. Its density of states at the Fermi level is 3.4 states/eV/f.u. The energy relative to the elements is 0.863 eV per formula unit. Its size of the total moment is 46.6 Bohr magnetons per cell.

a = 3.8857 Å, b = 3.8857 Å, c = 40.2133 Å
α = 90.00°, β = 90.00°, γ = 120.00°
Space group R-3m (No. 166, hexagonal axes)
Asymmetric unit:
K 0.0000 0.0000 0.0000 [3 per cell]
Li 0.0000 0.0000 0.5000 [3 per cell]
Eu 0.0000 0.0000 0.0986 [6 per cell]


Tm12Fe5Pb: optimized geometry, PBE.

Its density of states at the Fermi level is 18.8 states/eV/f.u. The energy relative to the elements is -2.463 eV per formula unit. Its size of the total moment is 5.2 Bohr magnetons per cell.

a = 9.240 Å, b = 9.316 Å, c = 9.801 Å
α = 90.00°, β = 90.00°, γ = 90.00°
Space group Immm (No. 71)
Asymmetric unit:
Tm 0.000 0.197 0.188 [8 per cell]
Tm 0.183 0.221 0.500 [8 per cell]
Tm 0.196 0.500 0.284 [8 per cell]
Fe 0.000 0.000 0.392 [4 per cell]
Fe 0.000 0.500 0.500 [2 per cell]
Fe 0.118 0.000 0.000 [4 per cell]
Pb 0.000 0.500 0.000 [2 per cell]